# PBE-GGA Tb2Pm3Er8, optimized geometry
# * energy above the lowest structure with this stoichiometry: 0.000 eV per formula unit
# * total energy: -4.379 eV/atom
# * Fermi-level density of states: 32.33 states/eV per cell
# * energy of formation: 238 meV per atom
# * density: 7.99 g/cm3
data_Tb2Pm3Er8
_cell_length_a 14.608
_cell_length_b 9.119
_cell_length_c 6.892
_cell_angle_alpha 90.00
_cell_angle_beta 108.83
_cell_angle_gamma 90.00
_space_group_name_H-M_alt 'C 1 2/m 1'
_space_group_IT_number 12
loop_
_space_group_symop_operation_xyz
'x,y,z'
'-x,-y,-z'
'-x,y,-z'
'x,-y,z'
'x+1/2,y+1/2,z'
'-x+1/2,-y+1/2,-z'
'-x+1/2,y+1/2,-z'
'x+1/2,-y+1/2,z'
loop_
_atom_site_label
_atom_site_type_symbol
_atom_site_fract_x
_atom_site_fract_y
_atom_site_fract_z
_atom_site_occupancy
Tb1 Tb 0.217 0.000 0.423 1
Pm1 Pm 0.000 0.000 0.000 1
Pm2 Pm 0.000 0.176 0.500 1
Er1 Er 0.083 0.500 0.733 1
Er2 Er 0.119 0.319 0.177 1
Er3 Er 0.192 0.000 0.897 1